# 1
The following is a GGA-PBE calculation of a relaxed Sr2MoRu crystal, from Alexandria via LeMat-Bulk. Values from VASP.

For the size of the total moment, the calculation gives 0.000 μB/atom. For the formation energy, the calculation gives 9.7 kcal/mol of atoms. The calculation puts the density of states at the Fermi level at 4.1 states/eV/f.u.

```
&SYSTEM
  ibrav = 0, nat = 4, ntyp = 3
/
ATOMIC_SPECIES
Sr 87.62 Sr.upf
Mo 95.94 Mo.upf
Ru 101.07 Ru.upf
ATOMIC_POSITIONS crystal
Sr 0.000 0.000 0.000
Sr 0.500 0.500 0.395
Mo 0.000 0.000 0.651
Ru 0.500 0.500 0.757
CELL_PARAMETERS angstrom
3.377 0.000 0.000
0.000 3.377 0.000
0.000 0.000 9.574
```



# 2
The following is a GGA-PBE calculation of a relaxed Ac8La2Pr crystal, from Alexandria via LeMat-Bulk. Values from VASP.

For the size of the total moment, the calculation gives 0.000 μB/atom. For the formation energy, the calculation gives 8.3 kcal/mol of atoms. The calculation puts the density of states at the Fermi level at 17.1 states/eV/f.u.

```
&SYSTEM
  ibrav = 0, nat = 11, ntyp = 3
/
ATOMIC_SPECIES
Ac 227.00 Ac.upf
La 138.91 La.upf
Pr 140.91 Pr.upf
ATOMIC_POSITIONS crystal
Ac 0.083 0.083 0.294
Ac 0.153 0.643 0.197
Ac 0.231 0.231 0.889
Ac 0.357 0.847 0.803
Ac 0.643 0.153 0.197
Ac 0.769 0.769 0.111
Ac 0.847 0.357 0.803
Ac 0.917 0.917 0.706
La 0.366 0.366 0.485
La 0.634 0.634 0.515
Pr 0.500 0.500 0.000
CELL_PARAMETERS angstrom
6.697 -6.354 0.000
6.697 6.354 0.000
-1.566 0.000 6.125
```



# 3
The following is a GGA-PBE calculation of a relaxed Y8HgPd2 crystal, from Alexandria via LeMat-Bulk. Values from VASP.

For the size of the total moment, the calculation gives 0.035 μB/atom. For the formation energy, the calculation gives -7.1 kcal/mol of atoms. The calculation puts the density of states at the Fermi level at 16.0 states/eV/f.u.

```
&SYSTEM
  ibrav = 0, nat = 11, ntyp = 3
/
ATOMIC_SPECIES
Y 88.91 Y.upf
Hg 200.59 Hg.upf
Pd 106.42 Pd.upf
ATOMIC_POSITIONS crystal
Y 0.000 0.000 0.000
Y 0.054 0.303 0.602
Y 0.149 0.621 0.190
Y 0.303 0.054 0.602
Y 0.468 0.717 0.777
Y 0.621 0.149 0.190
Y 0.717 0.468 0.777
Y 0.771 0.771 0.379
Hg 0.385 0.385 0.191
Pd 0.082 0.689 0.690
Pd 0.689 0.082 0.690
CELL_PARAMETERS angstrom
4.324 -6.804 0.000
4.324 6.804 0.000
-1.512 0.000 5.308
```



# 4
The following is a GGA-PBE calculation of a relaxed Dy3ScCo crystal, from Alexandria via LeMat-Bulk. Values from VASP.

For the size of the total moment, the calculation gives 0.212 μB/atom. For the formation energy, the calculation gives 1.5 kcal/mol of atoms. The calculation puts the density of states at the Fermi level at 8.5 states/eV/f.u.

```
&SYSTEM
  ibrav = 0, nat = 5, ntyp = 3
/
ATOMIC_SPECIES
Dy 162.50 Dy.upf
Sc 44.96 Sc.upf
Co 58.93 Co.upf
ATOMIC_POSITIONS crystal
Dy 0.000 0.000 0.500
Dy 0.000 0.500 0.000
Dy 0.500 0.000 0.000
Sc 0.500 0.500 0.500
Co 0.000 0.000 0.000
CELL_PARAMETERS angstrom
5.209 0.000 0.000
0.000 5.209 0.000
0.000 0.000 5.209
```



# 5
The following is a GGA-PBE calculation of a relaxed Fe4Co crystal, from Alexandria via LeMat-Bulk. Values from VASP.

For the size of the total moment, the calculation gives 1.632 μB/atom. For the formation energy, the calculation gives 5.8 kcal/mol of atoms. The calculation puts the density of states at the Fermi level at 5.7 states/eV/f.u.

```
&SYSTEM
  ibrav = 0, nat = 10, ntyp = 2
/
ATOMIC_SPECIES
Fe 55.84 Fe.upf
Co 58.93 Co.upf
ATOMIC_POSITIONS crystal
Fe 0.163 0.165 0.072
Fe 0.163 0.835 0.572
Fe 0.249 0.438 0.510
Fe 0.249 0.562 0.010
Fe 0.751 0.438 0.990
Fe 0.751 0.562 0.490
Fe 0.837 0.165 0.428
Fe 0.837 0.835 0.928
Co 0.500 0.126 0.750
Co 0.500 0.874 0.250
CELL_PARAMETERS angstrom
4.460 0.000 0.000
0.000 6.663 0.000
-1.703 0.000 3.880
```



# 6
The following is a GGA-PBE calculation of a relaxed SrTaN2 crystal, from Alexandria via LeMat-Bulk. Values from VASP.

For the size of the total moment, the calculation gives 0.000 μB/atom. The calculation puts the uncorrected formation energy at -0.5428 eV/atom. The calculation puts the density of states at the Fermi level at 1.7 states/eV/f.u.

```
&SYSTEM
  ibrav = 0, nat = 16, ntyp = 3
/
ATOMIC_SPECIES
Sr 87.62 Sr.upf
Ta 180.95 Ta.upf
N 14.01 N.upf
ATOMIC_POSITIONS crystal
Sr 0.000 0.139 0.250
Sr 0.000 0.861 0.750
Sr 0.500 0.361 0.750
Sr 0.500 0.639 0.250
Ta 0.000 0.500 0.000
Ta 0.000 0.500 0.500
Ta 0.500 0.000 0.000
Ta 0.500 0.000 0.500
N 0.222 0.428 0.250
N 0.222 0.572 0.750
N 0.278 0.072 0.750
N 0.278 0.928 0.250
N 0.722 0.072 0.750
N 0.722 0.928 0.250
N 0.778 0.428 0.250
N 0.778 0.572 0.750
CELL_PARAMETERS angstrom
6.215 0.000 0.000
0.000 9.086 0.000
0.000 0.000 5.487
```



# 7
The following is a GGA-PBE calculation of a relaxed Li8ErSn6 crystal, from Alexandria via LeMat-Bulk. Values from VASP.

For the size of the total moment, the calculation gives 0.000 μB/atom. For the formation energy, the calculation gives -5.8 kcal/mol of atoms. The calculation puts the density of states at the Fermi level at 7.5 states/eV/f.u.

```
&SYSTEM
  ibrav = 0, nat = 15, ntyp = 3
/
ATOMIC_SPECIES
Li 6.94 Li.upf
Er 167.26 Er.upf
Sn 118.71 Sn.upf
ATOMIC_POSITIONS crystal
Li 0.047 0.700 0.384
Li 0.232 0.232 0.232
Li 0.300 0.616 0.953
Li 0.384 0.047 0.700
Li 0.616 0.953 0.300
Li 0.700 0.384 0.047
Li 0.768 0.768 0.768
Li 0.953 0.300 0.616
Er 0.500 0.500 0.500
Sn 0.118 0.404 0.830
Sn 0.170 0.882 0.596
Sn 0.404 0.830 0.118
Sn 0.596 0.170 0.882
Sn 0.830 0.118 0.404
Sn 0.882 0.596 0.170
CELL_PARAMETERS angstrom
4.144 2.393 5.689
-4.144 2.393 5.689
0.000 -4.785 5.689
```



# 8
The following is a GGA-PBE calculation of a relaxed CsGe2P2 crystal, from Alexandria via LeMat-Bulk. Values from VASP.

For the size of the total moment, the calculation gives 0.000 μB/atom. For the formation energy, the calculation gives -2.9 kcal/mol of atoms. The calculation puts the density of states at the Fermi level at 1.2 states/eV/f.u.

```
&SYSTEM
  ibrav = 0, nat = 10, ntyp = 3
/
ATOMIC_SPECIES
Cs 132.91 Cs.upf
Ge 72.64 Ge.upf
P 30.97 P.upf
ATOMIC_POSITIONS crystal
Cs 0.000 0.000 0.000
Cs 0.500 0.500 0.500
Ge 0.000 0.500 0.250
Ge 0.000 0.500 0.750
Ge 0.500 0.000 0.250
Ge 0.500 0.000 0.750
P 0.000 0.000 0.325
P 0.000 0.000 0.675
P 0.500 0.500 0.175
P 0.500 0.500 0.825
CELL_PARAMETERS angstrom
4.639 0.000 0.000
0.000 4.639 0.000
0.000 0.000 13.054
```



# 9
The following is a GGA-PBE calculation of a relaxed TiSbTe2Pt crystal, from Alexandria via LeMat-Bulk. Values from VASP.

For the size of the total moment, the calculation gives 0.012 μB/atom. The calculation puts the uncorrected formation energy at 0.5699 eV/atom. The calculation puts the density of states at the Fermi level at 7.2 states/eV/f.u.

```
&SYSTEM
  ibrav = 0, nat = 5, ntyp = 4
/
ATOMIC_SPECIES
Ti 47.87 Ti.upf
Sb 121.76 Sb.upf
Te 127.60 Te.upf
Pt 195.08 Pt.upf
ATOMIC_POSITIONS crystal
Ti 0.000 0.000 0.000
Sb 0.500 0.500 0.000
Te 0.000 0.500 0.500
Te 0.500 0.000 0.500
Pt 0.500 0.500 0.500
CELL_PARAMETERS angstrom
5.350 0.000 0.000
0.000 5.350 0.000
0.000 0.000 5.091
```



# 10
The following is a GGA-PBE calculation of a relaxed SrLi2AlPd crystal, from Alexandria via LeMat-Bulk. Values from VASP.

For the size of the total moment, the calculation gives 0.000 μB/atom. For the formation energy, the calculation gives -6.6 kcal/mol of atoms. The calculation puts the density of states at the Fermi level at 2.6 states/eV/f.u.

```
&SYSTEM
  ibrav = 0, nat = 5, ntyp = 4
/
ATOMIC_SPECIES
Sr 87.62 Sr.upf
Li 6.94 Li.upf
Al 26.98 Al.upf
Pd 106.42 Pd.upf
ATOMIC_POSITIONS crystal
Sr 0.000 0.000 0.000
Li 0.000 0.500 0.500
Li 0.500 0.000 0.500
Al 0.500 0.500 0.000
Pd 0.500 0.500 0.500
CELL_PARAMETERS angstrom
4.937 0.000 0.000
0.000 4.937 0.000
0.000 0.000 4.818
```



# 11
The following is a GGA-PBE calculation of a relaxed CaBe2Cd crystal, from Alexandria via LeMat-Bulk. Values from VASP.

For the size of the total moment, the calculation gives 0.000 μB/atom. For the formation energy, the calculation gives 3.3 kcal/mol of atoms. The calculation puts the density of states at the Fermi level at 2.0 states/eV/f.u.

```
&SYSTEM
  ibrav = 0, nat = 8, ntyp = 3
/
ATOMIC_SPECIES
Ca 40.08 Ca.upf
Be 9.01 Be.upf
Cd 112.41 Cd.upf
ATOMIC_POSITIONS crystal
Ca 0.000 0.000 0.000
Ca 0.500 0.500 0.000
Be 0.029 0.500 0.587
Be 0.199 0.000 0.598
Be 0.529 0.000 0.587
Be 0.699 0.500 0.598
Cd 0.307 0.500 0.422
Cd 0.807 0.000 0.422
CELL_PARAMETERS angstrom
7.057 0.000 0.000
0.000 4.076 0.000
-2.376 0.000 5.338
```



# 12
The following is a GGA-PBE calculation of a relaxed Tb6PmHo2 crystal, from Alexandria via LeMat-Bulk. Values from VASP.

For the size of the total moment, the calculation gives 0.008 μB/atom. For the formation energy, the calculation gives 5.3 kcal/mol of atoms. The calculation puts the density of states at the Fermi level at 14.2 states/eV/f.u.

```
&SYSTEM
  ibrav = 0, nat = 9, ntyp = 3
/
ATOMIC_SPECIES
Tb 158.93 Tb.upf
Pm 145.00 Pm.upf
Ho 164.93 Ho.upf
ATOMIC_POSITIONS crystal
Tb 0.124 0.687 0.706
Tb 0.313 0.313 0.293
Tb 0.313 0.876 0.294
Tb 0.687 0.124 0.706
Tb 0.687 0.687 0.707
Tb 0.876 0.313 0.294
Pm 0.500 0.500 0.000
Ho 0.166 0.166 0.786
Ho 0.834 0.834 0.214
CELL_PARAMETERS angstrom
6.444 -3.721 0.000
6.444 3.721 0.000
-0.001 0.000 6.070
```